(one)
First-principles (meta-GGA SCAN) data for IrPtRh2 at its PBEsol-relaxed geometry, as listed in Alexandria via LeMat-Bulk.

Output
Its mass density is 17.6 g cm⁻³. For the magnetization, the calculation gives 0.000 μB/f.u.

abc: 2.7021 2.7021 7.6548
angles: 90.00 90.00 90.00
Fractional coordinates of all 4 atoms:
Ir 0.0000 0.0000 0.0000
Pt 0.5000 0.5000 0.2583
Rh 0.0000 0.0000 0.5154
Rh 0.5000 0.5000 0.7592



(two)
First-principles (meta-GGA SCAN) data for IrPtRh2 at its PBEsol-relaxed geometry, as listed in Alexandria via LeMat-Bulk.

Output
Its mass density is 17.6 g cm⁻³. For the magnetization, the calculation gives 0.000 μB/f.u.

abc: 2.6971 2.6971 7.6789
angles: 90.00 90.00 90.00
Fractional coordinates of all 4 atoms:
Ir 0.0000 0.0000 0.0000
Pt 0.0000 0.0000 0.5000
Rh 0.5000 0.5000 0.2413
Rh 0.5000 0.5000 0.7587



(three)
First-principles (meta-GGA SCAN) data for IrPtRh2 at its PBEsol-relaxed geometry, as listed in Alexandria via LeMat-Bulk.

Output
Its mass density is 17.6 g cm⁻³. For the magnetization, the calculation gives 0.000 μB/f.u.

abc: 4.6819 4.6819 2.7025
angles: 90.00 90.00 109.51
Fractional coordinates of all 4 atoms:
Ir 0.0000 0.0000 0.0000
Pt 0.5000 0.5000 0.0000
Rh 0.0000 0.5000 0.5000
Rh 0.5000 0.0000 0.5000



(two) wins, 50 meV/atom ahead of the next structure.



(one)
First-principles (meta-GGA SCAN) data for IrPtRh2 at its PBEsol-relaxed geometry, as listed in Alexandria via LeMat-Bulk.

Output
Its mass density is 17.6 g cm⁻³. For the magnetization, the calculation gives 0.000 μB/f.u.

abc: 8.9528 8.9528 8.9528
angles: 17.40 17.40 17.40
Fractional coordinates of all 4 atoms:
Ir 0.0000 0.0000 0.0000
Pt 0.7525 0.7525 0.7525
Rh 0.2521 0.2521 0.2521
Rh 0.5040 0.5040 0.5040



(two)
First-principles (meta-GGA SCAN) data for IrPtRh2 at its PBEsol-relaxed geometry, as listed in Alexandria via LeMat-Bulk.

Output
Its mass density is 17.6 g cm⁻³. For the magnetization, the calculation gives 0.000 μB/f.u.

abc: 8.9709 8.9709 8.9709
angles: 17.34 17.34 17.34
Fractional coordinates of all 4 atoms:
Ir 0.0000 0.0000 0.0000
Pt 0.5000 0.5000 0.5000
Rh 0.2520 0.2520 0.2520
Rh 0.7480 0.7480 0.7480



(three)
First-principles (meta-GGA SCAN) data for IrPtRh2 at its PBEsol-relaxed geometry, as listed in Alexandria via LeMat-Bulk.

Output
Its mass density is 17.6 g cm⁻³. For the magnetization, the calculation gives 0.000 μB/f.u.

abc: 4.6793 4.6793 4.6843
angles: 99.53 99.53 33.60
Fractional coordinates of all 4 atoms:
Ir 0.0000 0.0000 0.0000
Pt 0.5000 0.5000 0.5000
Rh 0.2531 0.2531 0.7564
Rh 0.7469 0.7469 0.2436



(two) wins, 18 meV/atom ahead of the next structure.



(one)
First-principles (meta-GGA SCAN) data for IrRu2Pt at its PBEsol-relaxed geometry, as listed in Alexandria via LeMat-Bulk.

Output
Its mass density is 17.6 g cm⁻³. For the magnetization, the calculation gives 0.009 μB/f.u.

abc: 2.6873 2.6873 7.6862
angles: 90.00 90.00 90.00
Fractional coordinates of all 4 atoms:
Ir 0.0000 0.0000 0.0000
Ru 0.5000 0.5000 0.2442
Ru 0.5000 0.5000 0.7558
Pt 0.0000 0.0000 0.5000



(two)
First-principles (meta-GGA SCAN) data for IrRu2Pt at its PBEsol-relaxed geometry, as listed in Alexandria via LeMat-Bulk.

Output
Its mass density is 17.6 g cm⁻³. For the magnetization, the calculation gives 0.000 μB/f.u.

abc: 8.9936 8.9936 8.9936
angles: 17.22 17.22 17.22
Fractional coordinates of all 4 atoms:
Ir 0.0000 0.0000 0.0000
Ru 0.2517 0.2517 0.2517
Ru 0.5062 0.5062 0.5062
Pt 0.7542 0.7542 0.7542



(three)
First-principles (meta-GGA SCAN) data for IrRu2Pt at its PBEsol-relaxed geometry, as listed in Alexandria via LeMat-Bulk.

Output
Its mass density is 17.7 g cm⁻³. For the magnetization, the calculation gives 0.000 μB/f.u.

abc: 4.6784 4.6784 4.6784
angles: 132.00 132.00 70.23
Fractional coordinates of all 4 atoms:
Ir 0.0000 0.0000 0.0000
Ru 0.5000 0.5000 0.0000
Ru 0.7500 0.2500 0.5000
Pt 0.2500 0.7500 0.5000



(four)
First-principles (meta-GGA SCAN) data for IrRu2Pt at its PBEsol-relaxed geometry, as listed in Alexandria via LeMat-Bulk.

Output
Its mass density is 17.6 g cm⁻³. For the magnetization, the calculation gives 0.030 μB/f.u.

abc: 9.0011 9.0011 9.0011
angles: 17.19 17.19 17.19
Fractional coordinates of all 4 atoms:
Ir 0.0000 0.0000 0.0000
Ru 0.2518 0.2518 0.2518
Ru 0.7482 0.7482 0.7482
Pt 0.5000 0.5000 0.5000



(one) wins, 22 meV/atom ahead of the next structure.



(one)
First-principles (meta-GGA SCAN) data for IrRu2Pt at its PBEsol-relaxed geometry, as listed in Alexandria via LeMat-Bulk.

Output
Its mass density is 17.6 g cm⁻³. For the magnetization, the calculation gives 0.000 μB/f.u.

abc: 2.6894 2.6894 7.6786
angles: 90.00 90.00 90.00
Fractional coordinates of all 4 atoms:
Ir 0.0000 0.0000 0.0000
Ru 0.0000 0.0000 0.5197
Ru 0.5000 0.5000 0.7573
Pt 0.5000 0.5000 0.2641



(two)
First-principles (meta-GGA SCAN) data for IrRu2Pt at its PBEsol-relaxed geometry, as listed in Alexandria via LeMat-Bulk.

Output
Its mass density is 17.6 g cm⁻³. For the magnetization, the calculation gives 0.001 μB/f.u.

abc: 2.6866 3.8349 5.3846
angles: 90.00 90.00 90.00
Fractional coordinates of all 4 atoms:
Ir 0.0000 0.0000 0.0000
Ru 0.5000 0.5000 0.2436
Ru 0.5000 0.5000 0.7564
Pt 0.0000 0.0000 0.5000



(two) wins, 30 meV/atom ahead of the next structure.



(one)
First-principles (meta-GGA SCAN) data for SbIrPt at its PBEsol-relaxed geometry, as listed in Alexandria via LeMat-Bulk.

Output
Its mass density is 14.7 g cm⁻³. For the magnetization, the calculation gives 0.000 μB/f.u.

abc: 4.3313 4.3313 4.3313
angles: 60.00 60.00 60.00
Fractional coordinates of all 3 atoms:
Sb 0.0000 0.0000 0.0000
Ir 0.5000 0.5000 0.5000
Pt 0.7500 0.7500 0.7500



(two)
First-principles (meta-GGA SCAN) data for SbIrPt at its PBEsol-relaxed geometry, as listed in Alexandria via LeMat-Bulk.

Output
Its mass density is 16.2 g cm⁻³. For the magnetization, the calculation gives 0.000 μB/f.u.

abc: 4.2369 4.2369 3.3500
angles: 90.00 90.00 120.00
Fractional coordinates of all 3 atoms:
Sb 0.0000 0.0000 0.0000
Ir 0.3333 0.6667 0.2280
Pt 0.6667 0.3333 0.6797



(two) wins, 139 meV/atom ahead of the next structure.



(one)
First-principles (meta-GGA SCAN) data for Tl2IrPt at its PBEsol-relaxed geometry, as listed in Alexandria via LeMat-Bulk.

Output
Its mass density is 17.6 g cm⁻³. For the magnetization, the calculation gives 0.000 μB/f.u.

abc: 3.0576 4.3875 5.6142
angles: 90.00 90.00 90.00
Fractional coordinates of all 4 atoms:
Tl 0.0000 0.0000 0.0000
Tl 0.5000 0.5000 0.3698
Ir 0.0000 0.0000 0.5009
Pt 0.5000 0.5000 0.8550



(two)
First-principles (meta-GGA SCAN) data for Tl2IrPt at its PBEsol-relaxed geometry, as listed in Alexandria via LeMat-Bulk.

Output
Its mass density is 17.5 g cm⁻³. For the magnetization, the calculation gives 0.000 μB/f.u.

abc: 4.2970 5.4982 5.4982
angles: 35.57 90.00 90.00
Fractional coordinates of all 4 atoms:
Tl 0.0000 0.0000 0.0000
Tl 0.5000 0.2991 0.2991
Ir 0.0000 0.7334 0.7334
Pt 0.5000 0.5691 0.5691



(two) wins, 112 meV/atom ahead of the next structure.



(one)
First-principles (meta-GGA SCAN) data for TlIrPt2 at its PBEsol-relaxed geometry, as listed in Alexandria via LeMat-Bulk.

Output
Its mass density is 19.9 g cm⁻³. For the magnetization, the calculation gives 0.000 μB/f.u.

abc: 5.5690 5.5690 5.5690
angles: 150.86 128.28 60.47
Fractional coordinates of all 4 atoms:
Tl 0.0000 0.0000 0.0000
Ir 0.2540 0.7540 0.5000
Pt 0.4912 0.4912 0.0000
Pt 0.7415 0.2415 0.5000



(two)
First-principles (meta-GGA SCAN) data for TlIrPt2 at its PBEsol-relaxed geometry, as listed in Alexandria via LeMat-Bulk.

Output
Its mass density is 20.1 g cm⁻³. For the magnetization, the calculation gives 0.000 μB/f.u.

abc: 2.8354 4.6787 4.8958
angles: 90.00 90.00 90.00
Fractional coordinates of all 4 atoms:
Tl 0.0000 0.0000 0.0000
Ir 0.0000 0.5000 0.6126
Pt 0.5000 0.0000 0.5101
Pt 0.5000 0.5000 0.1389



(three)
First-principles (meta-GGA SCAN) data for TlIrPt2 at its PBEsol-relaxed geometry, as listed in Alexandria via LeMat-Bulk.

Output
Its mass density is 19.3 g cm⁻³. For the magnetization, the calculation gives 0.000 μB/f.u.

abc: 2.7760 3.6290 6.7793
angles: 90.00 97.26 90.00
Fractional coordinates of all 4 atoms:
Tl 0.0000 0.0000 0.0000
Ir 0.0000 0.0000 0.5000
Pt 0.4271 0.5000 0.2860
Pt 0.5729 0.5000 0.7140



(three) wins, 57 meV/atom ahead of the next structure.



(one)
First-principles (meta-GGA SCAN) data for IrPt2W at its PBEsol-relaxed geometry, as listed in Alexandria via LeMat-Bulk.

Output
Its mass density is 21.5 g cm⁻³. For the magnetization, the calculation gives 0.686 μB/f.u.

abc: 2.7266 2.7266 7.9641
angles: 90.00 90.00 90.00
Fractional coordinates of all 4 atoms:
Ir 0.0000 0.0000 0.0000
Pt 0.5000 0.5000 0.2536
Pt 0.5000 0.5000 0.7464
W 0.0000 0.0000 0.5000



(two)
First-principles (meta-GGA SCAN) data for IrPt2W at its PBEsol-relaxed geometry, as listed in Alexandria via LeMat-Bulk.

Output
Its mass density is 21.3 g cm⁻³. For the magnetization, the calculation gives 0.000 μB/f.u.

abc: 2.7543 2.7543 7.8567
angles: 90.00 90.00 90.00
Fractional coordinates of all 4 atoms:
Ir 0.0000 0.0000 0.0000
Pt 0.0000 0.0000 0.5216
Pt 0.5000 0.5000 0.2571
W 0.5000 0.5000 0.7675



(two) wins, 169 meV/atom ahead of the next structure.



(one)
First-principles (meta-GGA SCAN) data for IrPt2W at its PBEsol-relaxed geometry, as listed in Alexandria via LeMat-Bulk.

Output
Its mass density is 21.5 g cm⁻³. For the magnetization, the calculation gives 0.000 μB/f.u.

abc: 2.7424 3.9002 5.5332
angles: 90.00 90.00 90.00
Fractional coordinates of all 4 atoms:
Ir 0.0000 0.0000 0.0000
Pt 0.0000 0.0000 0.5128
Pt 0.5000 0.5000 0.2580
W 0.5000 0.5000 0.7678



(two)
First-principles (meta-GGA SCAN) data for IrPt2W at its PBEsol-relaxed geometry, as listed in Alexandria via LeMat-Bulk.

Output
Its mass density is 21.6 g cm⁻³. For the magnetization, the calculation gives 0.000 μB/f.u.

abc: 4.7629 4.7629 4.7629
angles: 131.68 131.68 70.74
Fractional coordinates of all 4 atoms:
Ir 0.0000 0.0000 0.0000
Pt 0.2500 0.7500 0.5000
Pt 0.5000 0.5000 0.0000
W 0.7500 0.2500 0.5000



(two) wins, 10 meV/atom ahead of the next structure.



(one)
First-principles (meta-GGA SCAN) data for Ir2PtW at its PBEsol-relaxed geometry, as listed in Alexandria via LeMat-Bulk.

Output
Its mass density is 21.3 g cm⁻³. For the magnetization, the calculation gives 0.000 μB/f.u.

abc: 5.3645 5.3645 2.7175
angles: 104.63 104.63 118.83
Fractional coordinates of all 4 atoms:
Ir 0.0000 0.5000 0.0000
Ir 0.5000 0.0000 0.0000
Pt 0.0000 0.0000 0.5000
W 0.5000 0.5000 0.5000



(two)
First-principles (meta-GGA SCAN) data for Ir2PtW at its PBEsol-relaxed geometry, as listed in Alexandria via LeMat-Bulk.

Output
Its mass density is 21.7 g cm⁻³. For the magnetization, the calculation gives 0.000 μB/f.u.

abc: 4.7245 4.7245 2.7614
angles: 90.00 90.00 108.97
Fractional coordinates of all 4 atoms:
Ir 0.0000 0.5000 0.0000
Ir 0.5000 0.0000 0.0000
Pt 0.0000 0.0000 0.5000
W 0.5000 0.5000 0.5000



(two) wins, 202 meV/atom ahead of the next structure.



(one)
First-principles (meta-GGA SCAN) data for IrPtW2 at its PBEsol-relaxed geometry, as listed in Alexandria via LeMat-Bulk.

Output
Its mass density is 21.0 g cm⁻³. For the magnetization, the calculation gives 0.000 μB/f.u.

abc: 2.7290 3.9991 5.4577
angles: 90.00 90.00 90.00
Fractional coordinates of all 4 atoms:
Ir 0.0000 0.0000 0.0000
Pt 0.0000 0.0000 0.5000
W 0.5000 0.5000 0.2431
W 0.5000 0.5000 0.7569



(two)
First-principles (meta-GGA SCAN) data for IrPtW2 at its PBEsol-relaxed geometry, as listed in Alexandria via LeMat-Bulk.

Output
Its mass density is 20.5 g cm⁻³. For the magnetization, the calculation gives 0.000 μB/f.u.

abc: 3.2864 3.2864 5.6536
angles: 90.00 90.00 90.00
Fractional coordinates of all 4 atoms:
Ir 0.0000 0.0000 0.0000
Pt 0.5000 0.5000 0.2630
W 0.0000 0.0000 0.5000
W 0.5000 0.5000 0.7772



(one) wins, 276 meV/atom ahead of the next structure.



(one)
First-principles (meta-GGA SCAN) data for IrPtW2 at its PBEsol-relaxed geometry, as listed in Alexandria via LeMat-Bulk.

Output
Its mass density is 21.1 g cm⁻³. For the magnetization, the calculation gives 0.000 μB/f.u.

abc: 4.8445 4.8445 4.8445
angles: 133.14 133.14 68.43
Fractional coordinates of all 4 atoms:
Ir 0.0000 0.0000 0.0000
Pt 0.5000 0.5000 0.0000
W 0.2500 0.7500 0.5000
W 0.7500 0.2500 0.5000



(two)
First-principles (meta-GGA SCAN) data for IrPtW2 at its PBEsol-relaxed geometry, as listed in Alexandria via LeMat-Bulk.

Output
Its mass density is 21.1 g cm⁻³. For the magnetization, the calculation gives 0.000 μB/f.u.

abc: 4.8429 4.8429 2.7274
angles: 90.00 90.00 111.64
Fractional coordinates of all 4 atoms:
Ir 0.0000 0.0000 0.0000
Pt 0.5000 0.5000 0.0000
W 0.0000 0.5000 0.5000
W 0.5000 0.0000 0.5000



(three)
First-principles (meta-GGA SCAN) data for IrPtW2 at its PBEsol-relaxed geometry, as listed in Alexandria via LeMat-Bulk.

Output
Its mass density is 20.6 g cm⁻³. For the magnetization, the calculation gives 0.000 μB/f.u.

abc: 4.4130 4.4130 4.4130
angles: 60.00 60.00 60.00
Fractional coordinates of all 4 atoms:
Ir 0.0000 0.0000 0.0000
Pt 0.7500 0.7500 0.7500
W 0.2500 0.2500 0.2500
W 0.5000 0.5000 0.5000



(one) wins, 7 meV/atom ahead of the next structure.